No. 1
Below is a geometry-optimized DyAl4Ir structure, with properties calculated at the GGA-PBE level.

crystal system	tetragonal
total energy	-5.15	eV per atom

Cell: 7.351 7.351 7.351 Å, 127.69 127.69 77.13°
Element x y z (fractional)
Dy (0.000, 0.000, 0.000)
Dy (0.500, 0.500, 0.000)
Al (0.016, 0.516, 0.202)
Al (0.186, 0.984, 0.500)
Al (0.314, 0.814, 0.798)
Al (0.484, 0.686, 0.500)
Al (0.516, 0.314, 0.500)
Al (0.686, 0.186, 0.202)
Al (0.814, 0.016, 0.500)
Al (0.984, 0.484, 0.798)
Ir (0.250, 0.250, 0.000)
Ir (0.750, 0.750, 0.000)

No. 2
Below is a geometry-optimized BaSrYCu3PbO7 structure, with properties calculated at the GGA-PBE level.

ΔE_f (raw)	-25.007	eV per formula unit
crystal system	monoclinic

Cell: 14.364 14.364 3.863 Å, 97.06 97.06 15.40°
Element x y z (fractional)
Ba (0.000, 0.000, 0.000)
Sr (0.742, 0.742, 0.758)
Y (0.867, 0.867, 0.880)
Cu (0.161, 0.161, 0.160)
Cu (0.306, 0.306, 0.324)
Cu (0.424, 0.424, 0.432)
Pb (0.599, 0.599, 0.618)
O (0.096, 0.096, 0.019)
O (0.224, 0.224, 0.274)
O (0.314, 0.314, 0.831)
O (0.417, 0.417, 0.925)
O (0.521, 0.521, 0.517)
O (0.814, 0.814, 0.331)
O (0.917, 0.917, 0.425)

No. 3
Below is a geometry-optimized InCoMo2 structure, with properties calculated at the GGA-PBE level.

crystal system	orthorhombic
total energy	-7.57	eV per atom

Cell: 3.300 4.538 8.501 Å, 90.00 90.00 90.00°
Element x y z (fractional)
In (0.000, 0.000, 0.000)
In (0.500, 0.500, 0.500)
Co (0.000, 0.500, 0.251)
Co (0.500, 0.000, 0.751)
Mo (0.000, 0.000, 0.510)
Mo (0.000, 0.500, 0.777)
Mo (0.500, 0.000, 0.277)
Mo (0.500, 0.500, 0.010)

No. 4
Below is a geometry-optimized PmPrNdGd structure, with properties calculated at the GGA-PBE level.

crystal system	cubic
total energy	-6.98	eV per atom

Cell: 8.228 8.228 8.228 Å, 90.00 90.00 90.00°
Element x y z (fractional)
Pm (0.000, 0.000, 0.000)
Pm (0.000, 0.500, 0.500)
Pm (0.500, 0.000, 0.500)
Pm (0.500, 0.500, 0.000)
Pr (0.250, 0.250, 0.250)
Pr (0.250, 0.750, 0.750)
Pr (0.750, 0.250, 0.750)
Pr (0.750, 0.750, 0.250)
Nd (0.000, 0.000, 0.500)
Nd (0.000, 0.500, 0.000)
Nd (0.500, 0.000, 0.000)
Nd (0.500, 0.500, 0.500)
Gd (0.250, 0.250, 0.750)
Gd (0.250, 0.750, 0.250)
Gd (0.750, 0.250, 0.250)
Gd (0.750, 0.750, 0.750)

No. 5
Below is a geometry-optimized Sm3HoTh2As6 structure, with properties calculated at the GGA-PBE level.

crystal system	monoclinic
total energy	-6.62	eV per atom

Cell: 9.420 9.420 8.414 Å, 102.98 102.98 25.88°
Element x y z (fractional)
Sm (0.000, 0.000, 0.000)
Sm (0.334, 0.334, 0.666)
Sm (0.666, 0.666, 0.334)
Ho (0.000, 0.000, 0.500)
Th (0.335, 0.335, 0.170)
Th (0.665, 0.665, 0.830)
As (0.165, 0.165, 0.581)
As (0.167, 0.167, 0.083)
As (0.499, 0.499, 0.745)
As (0.501, 0.501, 0.255)
As (0.833, 0.833, 0.917)
As (0.835, 0.835, 0.419)

No. 6
Below is a geometry-optimized Ac2InNi12P3 structure, with properties calculated at the GGA-PBE level.

crystal system	trigonal
total energy	-5.42	eV per atom

Cell: 7.452 7.452 7.452 Å, 61.98 61.98 61.98°
Element x y z (fractional)
Ac (0.109, 0.109, 0.109)
Ac (0.891, 0.891, 0.891)
In (0.500, 0.500, 0.500)
Ni (0.102, 0.627, 0.627)
Ni (0.166, 0.166, 0.599)
Ni (0.166, 0.599, 0.166)
Ni (0.373, 0.373, 0.898)
Ni (0.373, 0.898, 0.373)
Ni (0.401, 0.834, 0.834)
Ni (0.599, 0.166, 0.166)
Ni (0.627, 0.102, 0.627)
Ni (0.627, 0.627, 0.102)
Ni (0.834, 0.401, 0.834)
Ni (0.834, 0.834, 0.401)
Ni (0.898, 0.373, 0.373)
P (0.000, 0.500, 0.500)
P (0.500, 0.000, 0.500)
P (0.500, 0.500, 0.000)

No. 7
Below is a geometry-optimized K3LiY structure, with properties calculated at the GGA-PBE level.

crystal system	cubic
energy relative to the lowest polymorph listed for this composition	0	meV per atom

Cell: 6.492 6.492 6.492 Å, 90.00 90.00 90.00°
Element x y z (fractional)
K (0.000, 0.000, 0.500)
K (0.000, 0.500, 0.000)
K (0.500, 0.000, 0.000)
Li (0.000, 0.000, 0.000)
Y (0.500, 0.500, 0.500)

No. 8
Below is a geometry-optimized SmY6Ho2Er structure, with properties calculated at the GGA-PBE level.

crystal system	monoclinic
total energy	-5.60	eV per atom

Cell: 8.776 8.776 9.584 Å, 94.01 94.01 117.44°
Element x y z (fractional)
Sm (0.025, 0.975, 0.750)
Sm (0.975, 0.025, 0.250)
Y (0.015, 0.567, 0.684)
Y (0.122, 0.752, 0.057)
Y (0.248, 0.878, 0.443)
Y (0.293, 0.508, 0.883)
Y (0.433, 0.985, 0.816)
Y (0.492, 0.707, 0.617)
Y (0.508, 0.293, 0.383)
Y (0.567, 0.015, 0.184)
Y (0.707, 0.492, 0.117)
Y (0.752, 0.122, 0.557)
Y (0.878, 0.248, 0.943)
Y (0.985, 0.433, 0.316)
Ho (0.198, 0.301, 0.547)
Ho (0.301, 0.198, 0.047)
Ho (0.699, 0.802, 0.953)
Ho (0.802, 0.699, 0.453)
Er (0.409, 0.591, 0.250)
Er (0.591, 0.409, 0.750)

No. 9
Below is a geometry-optimized AgCO2 structure, with properties calculated at the GGA-PBE level.

ΔE_f (raw)	2.777	eV per formula unit
crystal system	trigonal

Cell: 2.514 2.514 23.069 Å, 90.00 90.00 120.00°
Element x y z (fractional)
Ag (0.000, 0.000, 0.000)
Ag (0.333, 0.667, 0.667)
Ag (0.667, 0.333, 0.333)
C (0.000, 0.000, 0.500)
C (0.333, 0.667, 0.167)
C (0.667, 0.333, 0.833)
O (0.000, 0.000, 0.129)
O (0.000, 0.000, 0.871)
O (0.333, 0.667, 0.538)
O (0.333, 0.667, 0.795)
O (0.667, 0.333, 0.205)
O (0.667, 0.333, 0.462)

No. 10
Below is a geometry-optimized BeNbAu2 structure, with properties calculated at the GGA-PBE level.

crystal system	trigonal
total energy	-5.02	eV per atom

Cell: 2.914 2.914 25.945 Å, 90.00 90.00 120.00°
Element x y z (fractional)
Be (0.000, 0.000, 0.000)
Be (0.333, 0.667, 0.667)
Be (0.667, 0.333, 0.333)
Nb (0.000, 0.000, 0.500)
Nb (0.333, 0.667, 0.167)
Nb (0.667, 0.333, 0.833)
Au (0.000, 0.000, 0.262)
Au (0.000, 0.000, 0.738)
Au (0.333, 0.667, 0.405)
Au (0.333, 0.667, 0.929)
Au (0.667, 0.333, 0.071)
Au (0.667, 0.333, 0.595)

No. 11
Below is a geometry-optimized Cs2TmCu2Br6 structure, with properties calculated at the GGA-PBE level.

ΔE_f (raw)	-13.190	eV per formula unit
crystal system	monoclinic

Cell: 7.847 7.847 8.791 Å, 117.89 117.89 59.74°
Element x y z (fractional)
Cs (0.216, 0.216, 0.203)
Cs (0.784, 0.784, 0.797)
Tm (0.000, 0.000, 0.500)
Cu (0.459, 0.459, 0.840)
Cu (0.541, 0.541, 0.160)
Br (0.206, 0.718, 0.242)
Br (0.237, 0.237, 0.636)
Br (0.282, 0.794, 0.758)
Br (0.718, 0.206, 0.242)
Br (0.763, 0.763, 0.364)
Br (0.794, 0.282, 0.758)

No. 12
Below is a geometry-optimized TlCuCl structure, with properties calculated at the GGA-PBE level.

ΔE_f (raw)	0.071	eV per formula unit
crystal system	cubic
energy relative to the lowest polymorph listed for this composition	245	meV per atom

Cell: 6.664 6.664 6.664 Å, 90.00 90.00 90.00°
Element x y z (fractional)
Tl (0.000, 0.000, 0.000)
Tl (0.000, 0.500, 0.500)
Tl (0.500, 0.000, 0.500)
Tl (0.500, 0.500, 0.000)
Cu (0.250, 0.250, 0.750)
Cu (0.250, 0.750, 0.250)
Cu (0.750, 0.250, 0.250)
Cu (0.750, 0.750, 0.750)
Cl (0.000, 0.000, 0.500)
Cl (0.000, 0.500, 0.000)
Cl (0.500, 0.000, 0.000)
Cl (0.500, 0.500, 0.500)

No. 13
Below is a geometry-optimized Pr6Sm5Mg2 structure, with properties calculated at the GGA-PBE level.

crystal system	orthorhombic
total energy	-4.15	eV per atom

Cell: 10.693 23.239 3.586 Å, 90.00 90.00 90.00°
Element x y z (fractional)
Pr (0.017, 0.113, 0.000)
Pr (0.148, 0.383, 0.000)
Pr (0.168, 0.634, 0.500)
Pr (0.332, 0.134, 0.500)
Pr (0.352, 0.883, 0.000)
Pr (0.483, 0.613, 0.000)
Pr (0.517, 0.387, 0.000)
Pr (0.648, 0.117, 0.000)
Pr (0.668, 0.866, 0.500)
Pr (0.832, 0.366, 0.500)
Pr (0.852, 0.617, 0.000)
Pr (0.983, 0.887, 0.000)
Sm (0.000, 0.500, 0.500)
Sm (0.083, 0.249, 0.500)
Sm (0.167, 0.995, 0.500)
Sm (0.333, 0.495, 0.500)
Sm (0.417, 0.749, 0.500)
Sm (0.500, 0.000, 0.500)
Sm (0.583, 0.251, 0.500)
Sm (0.667, 0.505, 0.500)
Sm (0.833, 0.005, 0.500)
Sm (0.917, 0.751, 0.500)
Mg (0.167, 0.761, 0.000)
Mg (0.333, 0.261, 0.000)
Mg (0.667, 0.739, 0.000)
Mg (0.833, 0.239, 0.000)

No. 14
Below is a geometry-optimized KAlSi2 structure, with properties calculated at the GGA-PBE level.

ΔE_f (raw)	2.540	eV per formula unit
crystal system	tetragonal

Cell: 4.393 4.393 4.248 Å, 90.00 90.00 90.00°
Element x y z (fractional)
K (0.000, 0.000, 0.000)
Al (0.500, 0.500, 0.000)
Si (0.000, 0.500, 0.500)
Si (0.500, 0.000, 0.500)

No. 15
Below is a geometry-optimized KLaBeTl2 structure, with properties calculated at the GGA-PBE level.

crystal system	tetragonal
total energy	-1.73	eV per atom

Cell: 6.140 6.140 7.330 Å, 90.00 90.00 90.00°
Element x y z (fractional)
K (0.000, 0.000, 0.000)
La (0.000, 0.000, 0.500)
Be (0.500, 0.500, 0.000)
Tl (0.000, 0.500, 0.500)
Tl (0.500, 0.000, 0.500)

No. 16
Below is a geometry-optimized CeHOs structure, with properties calculated at the GGA-PBE level.

crystal system	tetragonal
energy relative to the lowest polymorph listed for this composition	352	meV per atom

Cell: 3.839 3.839 7.254 Å, 90.00 90.00 90.00°
Element x y z (fractional)
Ce (0.000, 0.000, 0.000)
Ce (0.500, 0.500, 0.500)
H (0.000, 0.000, 0.682)
H (0.500, 0.500, 0.182)
Os (0.000, 0.000, 0.456)
Os (0.500, 0.500, 0.956)

No. 17
Below is a geometry-optimized Pm8CoSi3I4 structure, with properties calculated at the GGA-PBE level.

ΔE_f (raw)	-13.098	eV per formula unit
crystal system	trigonal

Cell: 9.136 9.136 9.136 Å, 55.74 55.74 55.74°
Element x y z (fractional)
Pm (0.233, 0.233, 0.233)
Pm (0.247, 0.722, 0.722)
Pm (0.278, 0.278, 0.753)
Pm (0.278, 0.753, 0.278)
Pm (0.722, 0.247, 0.722)
Pm (0.722, 0.722, 0.247)
Pm (0.753, 0.278, 0.278)
Pm (0.767, 0.767, 0.767)
Co (0.500, 0.500, 0.500)
Si (0.000, 0.000, 0.500)
Si (0.000, 0.500, 0.000)
Si (0.500, 0.000, 0.000)
I (0.000, 0.000, 0.000)
I (0.000, 0.500, 0.500)
I (0.500, 0.000, 0.500)
I (0.500, 0.500, 0.000)

No. 18
Below is a geometry-optimized Ac2GdHg structure, with properties calculated at the GGA-PBE level.

crystal system	trigonal
energy relative to the lowest polymorph listed for this composition	302	meV per atom

Cell: 3.776 3.776 37.085 Å, 90.00 90.00 120.00°
Element x y z (fractional)
Ac (0.000, 0.000, 0.095)
Ac (0.000, 0.000, 0.905)
Ac (0.333, 0.667, 0.571)
Ac (0.333, 0.667, 0.762)
Ac (0.667, 0.333, 0.238)
Ac (0.667, 0.333, 0.429)
Gd (0.000, 0.000, 0.000)
Gd (0.333, 0.667, 0.667)
Gd (0.667, 0.333, 0.333)
Hg (0.000, 0.000, 0.500)
Hg (0.333, 0.667, 0.167)
Hg (0.667, 0.333, 0.833)

No. 19
Below is a geometry-optimized VMoRu3 structure, with properties calculated at the GGA-PBE level.

crystal system	cubic
energy relative to the lowest polymorph listed for this composition	1217	meV per atom

Cell: 4.401 4.401 4.401 Å, 90.00 90.00 90.00°
Element x y z (fractional)
V (0.000, 0.000, 0.000)
Mo (0.500, 0.500, 0.500)
Ru (0.000, 0.000, 0.500)
Ru (0.000, 0.500, 0.000)
Ru (0.500, 0.000, 0.000)

M_tot list, top to bottom, in μB/cell: 0.00; 0.00; 2.84; 35.82; 0.00; 0.00; 0.82; 0.00; 0.00; 0.00; 0.88; 0.00; 0.00; 0.00; 0.00; 0.00; 0.01; 23.98; 1.52